1.
KThTa | GGA-PBE | optimized geometry

Geometry as CIF:
```
data_KThTa
_cell_length_a 7.1933
_cell_length_b 7.1933
_cell_length_c 7.1933
_cell_angle_alpha 90.00
_cell_angle_beta 90.00
_cell_angle_gamma 90.00
_space_group_name_H-M_alt 'F -4 3 m'
_space_group_IT_number 216
_space_group_name_Hall 'F -4 2 3'
loop_
_atom_site_label
_atom_site_fract_x
_atom_site_fract_y
_atom_site_fract_z
K1 0.0000 0.0000 0.0000
Th1 0.2500 0.2500 0.2500
Ta1 0.2500 0.2500 0.7500
```

Volume, Å³/cell: 372
Energy, Ry per atom: -0.3268

---

2.
LiHoHgPb | GGA-PBE | optimized geometry

Geometry as CIF:
```
data_LiHoHgPb
_cell_length_a 7.2741
_cell_length_b 7.2741
_cell_length_c 7.2741
_cell_angle_alpha 90.00
_cell_angle_beta 90.00
_cell_angle_gamma 90.00
_space_group_name_H-M_alt 'F -4 3 m'
_space_group_IT_number 216
_space_group_name_Hall 'F -4 2 3'
loop_
_atom_site_label
_atom_site_fract_x
_atom_site_fract_y
_atom_site_fract_z
Li1 0.0000 0.0000 0.0000
Ho1 0.0000 0.0000 0.5000
Hg1 0.2500 0.2500 0.7500
Pb1 0.2500 0.2500 0.2500
```

Volume, Å³/cell: 385
Energy, Ry per atom: -0.2250

---

3.
FeHgGeOs | GGA-PBE | optimized geometry

Geometry as CIF:
```
data_FeHgGeOs
_cell_length_a 6.2859
_cell_length_b 6.2859
_cell_length_c 6.2859
_cell_angle_alpha 90.00
_cell_angle_beta 90.00
_cell_angle_gamma 90.00
_space_group_name_H-M_alt 'F -4 3 m'
_space_group_IT_number 216
_space_group_name_Hall 'F -4 2 3'
loop_
_atom_site_label
_atom_site_fract_x
_atom_site_fract_y
_atom_site_fract_z
Fe1 0.0000 0.0000 0.0000
Hg1 0.2500 0.2500 0.2500
Ge1 0.2500 0.2500 0.7500
Os1 0.0000 0.0000 0.5000
```

Volume, Å³/cell: 248
Energy, Ry per atom: -0.4032